1.
Compound: Sb2TeMo
Source: Alexandria via LeMat-Bulk
Functional: PBE
Structure: relaxed

Cell: 5.219 5.219 6.414 Å, 73.12 73.12 38.28°
Fractional coordinates of all 4 atoms:
1 Sb 0.931 0.931 0.126
2 Mo 0.212 0.212 0.133
3 Te 0.582 0.582 0.476
4 Sb 0.776 0.776 0.765

Computed properties:
mass density = 7.53 g/cm3
ΔE_f (raw) = 78 meV/atom
total DFT energy (no corrections) = -21.9 eV/f.u.
Fermi-level density of states = 1.49 states/eV/cell

2.
Compound: Sb2TeMo
Source: Alexandria via LeMat-Bulk
Functional: PBE
Structure: relaxed

Cell: 5.202 5.205 5.195 Å, 70.48 70.73 109.58°
Each line ends with the local moment (μB).
Fractional coordinates of all 4 atoms:
1 Sb 0.000 0.000 0.000  -0.06
2 Te 0.000 0.500 0.500  -0.01
3 Mo 0.500 0.500 0.000  2.68
4 Sb 0.500 0.000 0.500  -0.06

Computed properties:
mass density = 7.16 g/cm3
ΔE_f (raw) = 521 meV/atom
total DFT energy (no corrections) = -20.1 eV/f.u.
Fermi-level density of states = 2.28 states/eV/cell

3.
Compound: Sb3TeMo
Source: Alexandria via LeMat-Bulk
Functional: PBE
Structure: relaxed

Cell: 5.641 5.641 5.641 Å, 90.00 90.00 90.00°
Each line ends with the local moment (μB).
Fractional coordinates of all 5 atoms:
1 Te 0.000 0.000 0.000  0.00
2 Sb 0.000 0.500 0.000  -0.20
3 Sb 0.500 0.000 0.000  -0.14
4 Mo 0.500 0.500 0.500  3.60
5 Sb 0.000 0.000 0.500  -0.20

Computed properties:
mass density = 5.45 g/cm3
ΔE_f (raw) = 1524 meV/atom
total DFT energy (no corrections) = -18.7 eV/f.u.
Fermi-level density of states = 2.72 states/eV/cell

4.
Compound: SbTe4Mo
Source: Alexandria via LeMat-Bulk
Functional: PBE
Structure: relaxed

Cell: 6.283 6.283 6.283 Å, 60.00 60.00 60.00°
Each line ends with the local moment (μB).
Fractional coordinates of all 6 atoms:
1 Mo 0.750 0.750 0.750  3.53
2 Te 0.375 0.874 0.375  0.01
3 Te 0.375 0.375 0.874  0.01
4 Sb 0.000 0.000 0.000  -0.14
5 Te 0.375 0.375 0.375  0.01
6 Te 0.874 0.375 0.375  0.01

Computed properties:
mass density = 6.90 g/cm3
ΔE_f (raw) = 1041 meV/atom
total DFT energy (no corrections) = -21.3 eV/f.u.
Fermi-level density of states = 5.03 states/eV/cell